(1)
5
Lattice="4.712 0.000 0.000 0.000 4.712 0.000 0.000 0.000 4.461" Properties=species:S:1:pos:R:3 comment="LaAsSe2O, optimized geometry, DFT PBE" dft_energy_ev_per_atom=-5.014 de_polymorph_mev_per_atom=859 e_form_raw_mev_per_atom=-713 space_group=P4/mmm dos_ef_per_ev_fu=2.13 pbc="T T T"
La 0.000 0.000 0.000
As 2.356 2.356 0.000
Se 0.000 2.356 2.231
Se 2.356 0.000 2.231
O 2.356 2.356 2.231

(2)
10
Lattice="3.989 0.000 0.000 0.000 3.989 0.000 0.000 0.000 14.307" Properties=species:S:1:pos:R:3 comment="LaAsSe2O, optimized geometry, DFT PBE" dft_energy_ev_per_atom=-5.873 de_polymorph_mev_per_atom=0 e_form_raw_mev_per_atom=-1573 space_group=P4/nmm pbc="T T T"
La 0.997 0.997 1.279
La 2.992 2.992 13.029
As 0.997 0.997 9.014
As 2.992 2.992 5.294
Se 0.997 0.997 5.702
Se 0.997 0.997 11.404
Se 2.992 2.992 2.903
Se 2.992 2.992 8.605
O 0.997 2.992 0.000
O 2.992 0.997 0.000

(3)
16
Lattice="4.254 2.456 7.044 -4.254 2.456 7.044 0.000 -4.912 7.044" Properties=species:S:1:pos:R:3 comment="La8As3Se4O, optimized geometry, DFT PBE" dft_energy_ev_per_atom=-6.422 e_form_raw_mev_per_atom=-1906 space_group=R-3m dos_ef_per_ev_fu=9.96 pbc="T T T"
La 0.000 0.000 5.238
La -2.015 -1.164 12.182
La 0.000 -2.327 8.950
La -2.015 1.164 8.950
La 2.015 -1.164 12.182
La 0.000 2.327 12.182
La 2.015 1.164 8.950
La 0.000 0.000 15.895
As -4.254 0.000 10.566
As -2.127 1.228 3.522
As 2.127 1.228 3.522
Se 0.000 0.000 0.000
Se -2.127 -1.228 7.044
Se -2.127 1.228 14.088
Se 0.000 2.456 7.044
O 0.000 0.000 10.566